1.
Pm3Ga2Au4: relaxed, GGA-PBE.

Cell and atoms, written as POSCAR:
```
Pm3Ga2Au4
1.0
4.6330 0.0000 0.0000
-2.3165 5.4229 -0.4749
0.0000 -2.9302 8.3362
Pm Ga Au
3 2 4
Cartesian
2.3165 -0.3730 5.5448
0.0000 0.0000 0.0000
0.0000 2.8657 2.3165
2.3165 0.6148 2.4760
0.0000 1.8779 5.3853
2.3165 2.1410 0.3445
0.0000 0.3517 7.5168
2.3165 2.7933 4.5733
0.0000 -0.3006 3.2880
```

Computed properties:
N(E_F): 5.44 states/eV/f.u.
calculated total energy: -4.50 eV per atom
energy of formation: -18.168 kcal/mol of atoms
calculated volume: 22.56 Å³ per atom
symmetry: C2/m (12)

=====

2.
Pm2GaAu2: relaxed, GGA-PBE.

Cell and atoms, written as POSCAR:
```
Pm2GaAu2
1.0
-3.5132 2.6884 -0.0614
-3.8711 -1.3208 4.2745
3.0253 7.7267 5.8074
Pm Ga Au
4 2 4
Cartesian
-1.8137 5.0644 6.7219
-2.7779 0.0955 3.7368
-2.5453 4.0299 3.2985
-1.5811 8.9989 6.2836
-3.7910 2.4605 5.8636
-0.5679 6.6338 4.1569
-4.7497 4.8406 5.5349
-1.5693 1.6215 1.3925
0.3907 4.2537 4.4855
-2.7896 7.4728 8.6279
```

Computed properties:
N(E_F): 4.34 states/eV/f.u.
calculated total energy: -4.56 eV per atom
energy of formation: -17.249 kcal/mol of atoms
ΔE to the lowest computed polymorph: 0 meV per atom
calculated volume: 23.98 Å³ per atom
symmetry: C2/m (12)

=====

3.
Pm3GaAu3: relaxed, GGA-PBE.

Cell and atoms, written as POSCAR:
```
Pm3GaAu3
1.0
4.2278 0.0000 0.6369
2.0865 5.4828 0.5004
-0.0768 -0.0329 14.8613
Pm Ga Au
6 2 6
Cartesian
2.8819 1.7953 9.5718
3.3557 3.6547 6.4268
1.5968 1.4036 3.7511
4.6407 4.0464 12.2475
2.2040 1.5107 14.0722
4.0336 3.9392 1.9264
3.3765 0.4386 6.2887
2.8611 5.0114 9.7099
5.1297 4.0057 9.0016
1.1079 1.4443 6.9969
2.1832 4.5359 14.2100
4.0543 0.9141 1.7886
5.8093 4.4514 4.4902
0.4283 0.9985 11.5084
```

Computed properties:
N(E_F): 5.91 states/eV/f.u.
calculated total energy: -4.63 eV per atom
energy of formation: -17.463 kcal/mol of atoms
ΔE to the lowest computed polymorph: 0 meV per atom
calculated volume: 24.63 Å³ per atom
symmetry: C2/m (12)